(1)
# MnSbRu2

A relaxed MnSbRu2 crystal (GGA-PBE, the Alexandria database).

- spin magnetization (μB/f.u.) = 3.70
- formation energy (no corrections) (eV per atom) = 0.2767
- DOS at the Fermi energy (states/eV/f.u.) = 3.410
- energy (Ha/atom) = -0.2824

Cell: 2.9277 4.3420 5.0131 Å, 90.00 93.10 90.00°
Space group P2/m (No. 10)
Symmetry-distinct sites (fractional):
Mn 0.0000 0.0000 0.0000 (multiplicity 1)
Sb 0.5000 0.0000 0.5000 (multiplicity 1)
Ru 0.2561 0.5000 0.7690 (multiplicity 2)

(2)
# LiTaNb3

A relaxed LiTaNb3 crystal (GGA-PBE, the Alexandria database).

- spin magnetization (μB/f.u.) = 0.25
- DOS at the Fermi energy (states/eV/f.u.) = 9.879
- energy (Ha/atom) = -0.2707
- energy of formation (eV/atom) = 1.43
- energy relative to the lowest polymorph listed for this composition (eV/atom) = 0.380

Cell: 4.9574 4.9574 4.9574 Å, 90.00 90.00 90.00°
Space group Pm-3m (No. 221)
Symmetry-distinct sites (fractional):
Li 0.0000 0.0000 0.0000 (multiplicity 1)
Ta 0.5000 0.5000 0.5000 (multiplicity 1)
Nb 0.0000 0.5000 0.5000 (multiplicity 3)

(3)
# Cr2GaPd

A relaxed Cr2GaPd crystal (GGA-PBE, the Alexandria database).

- spin magnetization (μB/f.u.) = 0.00
- DOS at the Fermi energy (states/eV/f.u.) = 6.323
- energy (Ha/atom) = -0.2304
- energy of formation (eV/atom) = 0.60

Cell: 6.8672 6.8672 4.9362 Å, 90.00 90.00 90.00°
Space group I-42d (No. 122)
Symmetry-distinct sites (fractional):
Cr 0.2456 0.2500 0.1250 (multiplicity 8)
Ga 0.0000 0.0000 0.0000 (multiplicity 4)
Pd 0.0000 0.0000 0.5000 (multiplicity 4)

(4)
# K2Rb8O

A relaxed K2Rb8O crystal (GGA-PBE, the Alexandria database).

- spin magnetization (μB/f.u.) = 0.00
- formation energy (no corrections) (eV per atom) = -0.1958
- DOS at the Fermi energy (states/eV/f.u.) = 7.076
- energy (Ha/atom) = -0.0570
- energy relative to the lowest polymorph listed for this composition (eV/atom) = 0.060

Cell: 23.3115 8.1260 8.9589 Å, 90.00 107.71 90.00°
Space group C2/m (No. 12)
Symmetry-distinct sites (fractional):
K 0.1892 0.0000 0.1174 (multiplicity 4)
Rb 0.0011 0.0000 0.2609 (multiplicity 4)
Rb 0.0793 0.5000 0.3412 (multiplicity 4)
Rb 0.0922 0.5000 0.7659 (multiplicity 4)
Rb 0.2156 0.0000 0.6412 (multiplicity 4)
O 0.0000 0.5000 0.5000 (multiplicity 2)

(5)
# Rb2LaPmTe4

A relaxed Rb2LaPmTe4 crystal (GGA-PBE, the Alexandria database).

- spin magnetization (μB/f.u.) = 0.00
- formation energy (no corrections) (eV per atom) = -1.4488
- DOS at the Fermi energy (states/eV/f.u.) = 0.000
- energy (Ha/atom) = -0.1643

Cell: 8.1126 4.6833 8.9709 Å, 90.00 107.53 90.00°
Space group P2/m (No. 10)
Symmetry-distinct sites (fractional):
Rb 0.0000 0.0000 0.0000 (multiplicity 1)
Rb 0.5000 0.5000 0.0000 (multiplicity 1)
La 0.0000 0.5000 0.5000 (multiplicity 1)
Pm 0.5000 0.0000 0.5000 (multiplicity 1)
Te 0.2401 0.0000 0.7059 (multiplicity 2)
Te 0.2701 0.5000 0.2959 (multiplicity 2)

(6)
# TmZn4Co

A relaxed TmZn4Co crystal (GGA-PBE, the Alexandria database).

- spin magnetization (μB/f.u.) = 0.00
- DOS at the Fermi energy (states/eV/f.u.) = 0.064
- energy (Ha/atom) = -0.1091
- energy of formation (eV/atom) = -0.19
- energy relative to the lowest polymorph listed for this composition (eV/atom) = 0.040

Cell: 7.1734 7.1734 7.1734 Å, 90.00 90.00 90.00°
Space group F-43m (No. 216)
Symmetry-distinct sites (fractional):
Tm 0.0000 0.0000 0.0000 (multiplicity 4)
Zn 0.1238 0.1238 0.3762 (multiplicity 16)
Co 0.2500 0.2500 0.7500 (multiplicity 4)

(7)
# CeH4Os

A relaxed CeH4Os crystal (GGA-PBE, the Alexandria database).

- spin magnetization (μB/f.u.) = 0.96
- DOS at the Fermi energy (states/eV/f.u.) = 6.281
- energy (Ha/atom) = -0.1991
- energy relative to the lowest polymorph listed for this composition (eV/atom) = 0.000

Cell: 3.9945 12.0989 4.8952 Å, 90.00 90.00 90.00°
Space group Cmcm (No. 63)
Symmetry-distinct sites (fractional):
Ce 0.0000 0.1268 0.2500 (multiplicity 4)
H 0.0000 0.0989 0.7500 (multiplicity 4)
H 0.0000 0.3015 0.0010 (multiplicity 8)
H 0.0000 0.5000 0.0000 (multiplicity 4)
Os 0.0000 0.3979 0.2500 (multiplicity 4)

(8)
# La5Ge3N

A relaxed La5Ge3N crystal (GGA-PBE, the Alexandria database).

- spin magnetization (μB/f.u.) = 0.00
- formation energy (no corrections) (eV per atom) = -0.9367
- DOS at the Fermi energy (states/eV/f.u.) = 1.607
- energy (Ha/atom) = -0.2256

Cell: 8.3195 8.3195 14.3104 Å, 90.00 90.00 90.00°
Space group I4/mcm (No. 140)
Symmetry-distinct sites (fractional):
La 0.0000 0.0000 0.0000 (multiplicity 4)
La 0.1565 0.3435 0.1479 (multiplicity 16)
Ge 0.0000 0.0000 0.2500 (multiplicity 4)
Ge 0.1390 0.3610 0.5000 (multiplicity 8)
N 0.0000 0.5000 0.2500 (multiplicity 4)

(9)
# BaReBi3

A relaxed BaReBi3 crystal (GGA-PBE, the Alexandria database).

- spin magnetization (μB/f.u.) = 0.00
- DOS at the Fermi energy (states/eV/f.u.) = 19.120
- energy (Ha/atom) = -0.1005
- energy of formation (eV/atom) = 2.47
- energy relative to the lowest polymorph listed for this composition (eV/atom) = 2.146

Cell: 6.0406 6.0406 6.0406 Å, 90.00 90.00 90.00°
Space group Pm-3m (No. 221)
Symmetry-distinct sites (fractional):
Ba 0.0000 0.0000 0.0000 (multiplicity 1)
Re 0.5000 0.5000 0.5000 (multiplicity 1)
Bi 0.0000 0.0000 0.5000 (multiplicity 3)

(10)
# KBaSb2

A relaxed KBaSb2 crystal (GGA-PBE, the Alexandria database).

- spin magnetization (μB/f.u.) = 0.00
- formation energy (no corrections) (eV per atom) = -0.3017
- DOS at the Fermi energy (states/eV/f.u.) = 2.019
- energy (Ha/atom) = -0.1146
- energy relative to the lowest polymorph listed for this composition (eV/atom) = 0.346

Cell: 4.2307 4.2307 9.9229 Å, 90.00 90.00 90.00°
Space group P4mm (No. 99)
Symmetry-distinct sites (fractional):
K 0.0000 0.0000 0.0000 (multiplicity 1)
Ba 0.5000 0.5000 0.5894 (multiplicity 1)
Sb 0.0000 0.0000 0.3541 (multiplicity 1)
Sb 0.5000 0.5000 0.2552 (multiplicity 1)

(11)
# Sc2Pt9Rh

A relaxed Sc2Pt9Rh crystal (GGA-PBE, the Alexandria database).

- spin magnetization (μB/f.u.) = 0.58
- DOS at the Fermi energy (states/eV/f.u.) = 16.110
- energy (Ha/atom) = -0.2531
- energy of formation (eV/atom) = -0.69

Cell: 3.9733 3.9733 12.0526 Å, 90.00 90.00 90.00°
Space group P4/mmm (No. 123)
Symmetry-distinct sites (fractional):
Sc 0.0000 0.0000 0.1674 (multiplicity 2)
Pt 0.0000 0.5000 0.0000 (multiplicity 2)
Pt 0.0000 0.5000 0.3349 (multiplicity 4)
Pt 0.5000 0.5000 0.1673 (multiplicity 2)
Pt 0.5000 0.5000 0.5000 (multiplicity 1)
Rh 0.0000 0.0000 0.5000 (multiplicity 1)

(12)
# MnBe4Tc

A relaxed MnBe4Tc crystal (GGA-PBE, the Alexandria database).

- spin magnetization (μB/f.u.) = 0.85
- DOS at the Fermi energy (states/eV/f.u.) = 2.194
- energy (Ha/atom) = -0.2227
- energy of formation (eV/atom) = -0.32

Cell: 6.0308 6.0308 6.0308 Å, 90.00 90.00 90.00°
Space group F-43m (No. 216)
Symmetry-distinct sites (fractional):
Mn 0.0000 0.0000 0.0000 (multiplicity 4)
Be 0.1246 0.1246 0.6246 (multiplicity 16)
Tc 0.2500 0.2500 0.2500 (multiplicity 4)

(13)
# Ba2HgPd2

A relaxed Ba2HgPd2 crystal (GGA-PBE, the Alexandria database).

- spin magnetization (μB/f.u.) = 0.00
- DOS at the Fermi energy (states/eV/f.u.) = 2.934
- energy (Ha/atom) = -0.1268
- energy of formation (eV/atom) = -0.54

Cell: 10.8464 6.2391 8.7951 Å, 90.00 104.67 90.00°
Space group C2/c (No. 15)
Symmetry-distinct sites (fractional):
Ba 0.1471 0.1479 0.1471 (multiplicity 8)
Hg 0.0000 0.3554 0.7500 (multiplicity 4)
Pd 0.1384 0.3591 0.5044 (multiplicity 8)

(14)
# In2Hg2Au

A relaxed In2Hg2Au crystal (GGA-PBE, the Alexandria database).

- spin magnetization (μB/f.u.) = 0.00
- DOS at the Fermi energy (states/eV/f.u.) = 2.313
- energy (Ha/atom) = -0.0648
- energy of formation (eV/atom) = 0.11
- energy relative to the lowest polymorph listed for this composition (eV/atom) = 0.114

Cell: 4.0771 4.0771 16.1440 Å, 90.00 90.00 90.00°
Space group I4/mmm (No. 139)
Symmetry-distinct sites (fractional):
In 0.0000 0.0000 0.0910 (multiplicity 4)
Hg 0.0000 0.5000 0.2500 (multiplicity 4)
Au 0.0000 0.0000 0.5000 (multiplicity 2)

(15)
# TaZnNi14

A relaxed TaZnNi14 crystal (GGA-PBE, the Alexandria database).

- spin magnetization (μB/f.u.) = 5.80
- DOS at the Fermi energy (states/eV/f.u.) = 24.971
- energy (Ha/atom) = -0.2196
- energy of formation (eV/atom) = -0.10

Cell: 5.0677 5.0677 7.1168 Å, 90.00 90.00 90.00°
Space group P4/mmm (No. 123)
Symmetry-distinct sites (fractional):
Ta 0.0000 0.0000 0.0000 (multiplicity 1)
Zn 0.5000 0.5000 0.0000 (multiplicity 1)
Ni 0.0000 0.0000 0.5000 (multiplicity 1)
Ni 0.0000 0.5000 0.0000 (multiplicity 2)
Ni 0.0000 0.5000 0.5000 (multiplicity 2)
Ni 0.2510 0.2510 0.2575 (multiplicity 8)
Ni 0.5000 0.5000 0.5000 (multiplicity 1)

(16)
# NiP3I

A relaxed NiP3I crystal (GGA-PBE, the Alexandria database).

- spin magnetization (μB/f.u.) = 0.00
- formation energy (no corrections) (eV per atom) = 0.7142
- DOS at the Fermi energy (states/eV/f.u.) = 5.368
- energy (Ha/atom) = -0.1469
- energy relative to the lowest polymorph listed for this composition (eV/atom) = 0.000

Cell: 4.5274 4.5274 4.5274 Å, 90.00 90.00 90.00°
Space group Pm-3m (No. 221)
Symmetry-distinct sites (fractional):
Ni 0.0000 0.0000 0.0000 (multiplicity 1)
P 0.0000 0.0000 0.5000 (multiplicity 3)
I 0.5000 0.5000 0.5000 (multiplicity 1)

(17)
# Ba3PmMg4

A relaxed Ba3PmMg4 crystal (GGA-PBE, the Alexandria database).

- spin magnetization (μB/f.u.) = 0.00
- DOS at the Fermi energy (states/eV/f.u.) = 5.977
- energy (Ha/atom) = -0.0795
- energy of formation (eV/atom) = -0.05

Cell: 4.1626 4.1626 17.4343 Å, 90.00 90.00 90.00°
Space group P4/mmm (No. 123)
Symmetry-distinct sites (fractional):
Ba 0.0000 0.0000 0.0000 (multiplicity 1)
Ba 0.0000 0.0000 0.2668 (multiplicity 2)
Pm 0.0000 0.0000 0.5000 (multiplicity 1)
Mg 0.5000 0.5000 0.1328 (multiplicity 2)
Mg 0.5000 0.5000 0.4033 (multiplicity 2)

(18)
# BaZnSi6Pt2

A relaxed BaZnSi6Pt2 crystal (GGA-PBE, the Alexandria database).

- spin magnetization (μB/f.u.) = 0.00
- formation energy (no corrections) (eV per atom) = 0.0551
- DOS at the Fermi energy (states/eV/f.u.) = 2.287
- energy (Ha/atom) = -0.1737

Cell: 4.9265 4.9265 31.7754 Å, 90.00 90.00 120.00°
Space group R-3m (No. 166, hexagonal axes)
Symmetry-distinct sites (fractional):
Ba 0.0000 0.0000 0.0000 (multiplicity 3)
Zn 0.0000 0.0000 0.5000 (multiplicity 3)
Si 0.0050 0.5025 0.7682 (multiplicity 18)
Pt 0.0000 0.0000 0.2594 (multiplicity 6)

(19)
# K3HoNp2Se6

A relaxed K3HoNp2Se6 crystal (GGA-PBE, the Alexandria database).

- spin magnetization (μB/f.u.) = 8.00
- formation energy (no corrections) (eV per atom) = -1.4157
- DOS at the Fermi energy (states/eV/f.u.) = 20.620
- energy (Ha/atom) = -0.2194

Cell: 7.3570 12.7434 8.0607 Å, 90.00 107.71 90.00°
Space group C2/m (No. 12)
Symmetry-distinct sites (fractional):
K 0.0000 0.0000 0.0000 (multiplicity 2)
K 0.0000 0.3334 0.0000 (multiplicity 4)
Ho 0.0000 0.5000 0.5000 (multiplicity 2)
Np 0.0000 0.1667 0.5000 (multiplicity 4)
Se 0.2335 0.3351 0.7058 (multiplicity 8)
Se 0.2386 0.0000 0.7055 (multiplicity 4)

(20)
# CuPtS

A relaxed CuPtS crystal (GGA-PBE, the Alexandria database).

- spin magnetization (μB/f.u.) = 0.00
- formation energy (no corrections) (eV per atom) = -0.1065
- DOS at the Fermi energy (states/eV/f.u.) = 0.581
- energy (Ha/atom) = -0.1787
- energy relative to the lowest polymorph listed for this composition (eV/atom) = 0.075

Cell: 4.2112 3.4164 7.3701 Å, 90.00 103.83 90.00°
Space group Pm (No. 6)
Symmetry-distinct sites (fractional):
Cu 0.0000 0.0000 0.0000 (multiplicity 1)
Cu 0.1297 0.5000 0.2695 (multiplicity 1)
Pt 0.5216 0.5000 0.0453 (multiplicity 1)
Pt 0.5377 0.0000 0.5630 (multiplicity 1)
S 0.3655 0.5000 0.7300 (multiplicity 1)
S 0.6842 0.5000 0.3811 (multiplicity 1)